Record 1
Here is a geometry-optimized TcP3Ru structure from Alexandria via LeMat-Bulk. Energies are from PBE.

```
TcP3Ru
1.0
-2.5752 -3.1981 -1.9126
3.1789 -0.6725 -3.1559
1.9443 -3.1365 2.6268
P Tc Ru
3 1 1
Direct
0.0000 0.0000 0.5000
0.5000 0.0000 0.0000
0.0000 0.5000 0.0000
0.0000 0.0000 0.0000
0.5000 0.5000 0.5000
```

- crystal system = cubic
- ΔH_f (0 K) (eV per atom) = 1.03
- DOS(E_F) (states/eV per cell) = 3.30
- energy above the lowest structure with this stoichiometry (eV/atom) = 0.000
- symmetry = Pm-3m, No. 221

***

Record 2
Here is a geometry-optimized BPb structure from Alexandria via LeMat-Bulk. Energies are from PBE.

```
BPb
1.0
-2.0650 -1.0540 -3.0568
0.0603 -2.2163 3.1311
-5.2026 3.2435 2.3961
Pb B
2 2
Direct
0.6667 0.3333 0.2194
0.3333 0.6667 0.7194
0.6667 0.3333 0.8626
0.3333 0.6667 0.3626
```

- crystal system = hexagonal
- ΔH_f (0 K) (eV per atom) = 1.17
- DOS(E_F) (states/eV per cell) = 1.92
- energy above the lowest structure with this stoichiometry (eV/atom) = 0.359
- symmetry = P6_3mc, No. 186

***

Record 3
Here is a geometry-optimized LiThZr structure from Alexandria via LeMat-Bulk. Energies are from PBE.

```
LiThZr
1.0
-0.2737 2.2319 2.5621
-3.0925 0.9015 -1.1157
-5.3314 -9.1399 7.3924
Li Th Zr
2 2 2
Direct
0.0000 0.0000 0.0000
0.5000 0.5000 0.0000
0.0000 0.5000 0.2344
0.5000 0.0000 0.7656
0.0000 0.5000 0.5831
0.5000 0.0000 0.4169
```

- crystal system = tetragonal
- ΔH_f (0 K) (eV per atom) = 0.23
- DOS(E_F) (states/eV per cell) = 6.46
- energy above the lowest structure with this stoichiometry (eV/atom) = 0.039
- symmetry = P4/nmm, No. 129

***

Record 4
Here is a geometry-optimized BeV2Re structure from Alexandria via LeMat-Bulk. Energies are from PBE.

```
BeV2Re
1.0
3.1617 0.0000 0.0000
0.0000 4.0264 0.0000
0.0000 0.0000 4.0264
Re V Be
1 2 1
Direct
0.5000 0.5000 0.5000
0.0000 0.5000 0.0000
0.0000 0.0000 0.5000
0.5000 0.0000 0.0000
```

- crystal system = tetragonal
- ΔH_f (0 K) (eV per atom) = -0.12
- DOS(E_F) (states/eV per cell) = 4.36
- symmetry = P4/mmm, No. 123

***

Record 5
Here is a geometry-optimized Tm2Mg4Sc structure from Alexandria via LeMat-Bulk. Energies are from PBE.

```
Tm2Mg4Sc
1.0
3.2822 0.0000 -0.4331
0.0000 3.3155 0.0000
0.4836 0.0000 16.3189
Tm Mg Sc
2 4 1
Direct
0.7955 0.5000 0.5910
0.2045 0.5000 0.4090
0.0667 0.5000 0.1334
0.3687 0.0000 0.7375
0.9333 0.5000 0.8666
0.6313 0.0000 0.2625
0.5000 0.0000 0.0000
```

- crystal system = orthorhombic
- ΔH_f (0 K) (eV per atom) = 0.05
- DOS(E_F) (states/eV per cell) = 7.68
- energy above the lowest structure with this stoichiometry (eV/atom) = 0.000
- symmetry = Cmmm, No. 65

***

Record 6
Here is a geometry-optimized K2Tl6Bi structure from Alexandria via LeMat-Bulk. Energies are from PBE.

```
K2Tl6Bi
1.0
6.7592 -0.0004 0.0014
3.3794 5.8529 0.0000
-0.0003 0.0002 8.0196
K Tl Bi
2 6 1
Direct
0.6667 0.6667 0.1050
0.3333 0.3333 0.8950
0.8290 0.3421 0.6638
0.1710 0.6579 0.3362
0.6579 0.1711 0.3363
0.8290 0.8289 0.6638
0.1710 0.1711 0.3362
0.3421 0.8289 0.6637
0.0000 0.0000 0.0000
```

- crystal system = trigonal
- ΔH_f (0 K) (eV per atom) = -0.11
- DOS(E_F) (states/eV per cell) = 4.61
- symmetry = P-3m1, No. 164

***

Record 7
Here is a geometry-optimized BeH3Ir structure from Alexandria via LeMat-Bulk. Energies are from PBE.

```
BeH3Ir
1.0
-0.2484 2.6821 -1.6706
0.3900 -1.6370 -2.6860
-3.1357 -0.4160 -0.2017
H Ir Be
3 1 1
Direct
0.5000 0.0000 0.0000
0.0000 0.0000 0.5000
0.0000 0.5000 0.0000
0.5000 0.5000 0.5000
0.0000 0.0000 0.0000
```

- crystal system = cubic
- DOS(E_F) (states/eV per cell) = 1.30
- energy above the lowest structure with this stoichiometry (eV/atom) = 0.359
- symmetry = Pm-3m, No. 221

***

Record 8
Here is a geometry-optimized Dy2Er6Al structure from Alexandria via LeMat-Bulk. Energies are from PBE.

```
Dy2Er6Al
1.0
-4.0103 2.9078 1.9321
1.7048 -3.5723 8.9145
6.4329 7.6478 1.8349
Er Dy Al
12 4 2
Direct
0.9998 0.0212 0.1853
0.0001 0.3661 0.1083
0.0001 0.3155 0.4354
0.5001 0.1845 0.9354
0.0002 0.9788 0.8147
0.9999 0.6845 0.5646
0.4998 0.4788 0.6852
0.4999 0.8155 0.0646
0.5002 0.5212 0.3148
0.9999 0.6339 0.8917
0.5001 0.1339 0.6083
0.4999 0.8661 0.3917
0.9999 0.3055 0.7627
0.4999 0.1946 0.2627
0.0001 0.6945 0.2373
0.5001 0.8054 0.7373
0.0000 0.0000 0.5000
0.5000 0.5000 0.0000
```

- crystal system = orthorhombic
- ΔH_f (0 K) (eV per atom) = 0.00
- DOS(E_F) (states/eV per cell) = 24.53
- symmetry = Pnnm, No. 58

***

Record 9
Here is a geometry-optimized TaBe17Zn structure from Alexandria via LeMat-Bulk. Energies are from PBE.

```
TaBe17Zn
1.0
5.5426 0.0517 0.7118
0.6327 5.5066 0.7118
0.0575 0.0517 5.5878
Be Ta Zn
17 1 1
Direct
0.6584 0.6584 0.1569
0.8970 0.8970 0.8970
0.0034 0.2979 0.6917
0.3423 0.3423 0.8383
0.1569 0.6584 0.6584
0.9850 0.9850 0.5014
0.6917 0.2979 0.0034
0.9850 0.5014 0.9850
0.0968 0.0968 0.0968
0.8383 0.3423 0.3423
0.6917 0.0034 0.2979
0.3423 0.8383 0.3423
0.2979 0.0034 0.6917
0.5014 0.9850 0.9850
0.0034 0.6917 0.2979
0.2979 0.6917 0.0034
0.6584 0.1569 0.6584
0.6638 0.6638 0.6638
0.3884 0.3884 0.3884
```

- crystal system = trigonal
- ΔH_f (0 K) (eV per atom) = -0.07
- DOS(E_F) (states/eV per cell) = 4.34
- symmetry = R3m, No. 160

***

Record 10
Here is a geometry-optimized Pm2ErNpSb4 structure from Alexandria via LeMat-Bulk. Energies are from PBE.

```
Pm2ErNpSb4
1.0
-2.2330 1.5237 -3.5111
-5.4260 -5.3066 1.1479
-1.8041 6.3654 3.9096
Np Sb Er Pm
1 4 1 2
Direct
0.0000 0.0000 0.0000
0.0000 0.2535 0.7590
0.5000 0.7511 0.7575
0.0000 0.7465 0.2410
0.5000 0.2489 0.2425
0.5000 0.5000 0.0000
0.0000 0.5000 0.5000
0.5000 0.0000 0.5000
```

- crystal system = monoclinic
- formation energy (no corrections) (eV per atom) = -0.91
- DOS(E_F) (states/eV per cell) = 11.82
- symmetry = P2/m, No. 10

***

Record 11
Here is a geometry-optimized Zr4FePd structure from Alexandria via LeMat-Bulk. Energies are from PBE.

```
Zr4FePd
1.0
-4.4929 3.3302 -0.0948
-2.4585 -3.4566 -4.9093
-2.9815 -3.9018 4.2403
Zr Fe Pd
8 2 2
Direct
0.5000 0.3466 0.8185
0.0000 0.3466 0.1815
0.0000 0.6534 0.8185
0.5000 0.8185 0.6534
0.0000 0.8185 0.3466
0.5000 0.6534 0.1815
0.5000 0.1815 0.3466
0.0000 0.1815 0.6534
0.7500 0.5000 0.5000
0.2500 0.5000 0.5000
0.2500 0.0000 0.0000
0.7500 0.0000 0.0000
```

- crystal system = tetragonal
- ΔH_f (0 K) (eV per atom) = -0.31
- DOS(E_F) (states/eV per cell) = 17.63
- energy above the lowest structure with this stoichiometry (eV/atom) = 0.000
- symmetry = P4/mcc, No. 124

***

Record 12
Here is a geometry-optimized CaHgSe2 structure from Alexandria via LeMat-Bulk. Energies are from PBE.

```
CaHgSe2
1.0
-5.0584 -2.1667 3.3291
3.9285 -3.5251 3.6749
0.0210 2.0721 7.5932
Se Ca Hg
4 2 2
Direct
0.1076 0.6250 0.2500
0.6424 0.1250 0.2500
0.3750 0.3576 0.7500
0.8750 0.8924 0.7500
0.5000 0.5000 0.0000
0.2500 0.7500 0.5000
0.0000 0.0000 0.0000
0.7500 0.2500 0.5000
```

- crystal system = tetragonal
- formation energy (no corrections) (eV per atom) = -0.97
- DOS(E_F) (states/eV per cell) = 0.00
- symmetry = I-42d, No. 122

***

Question: What is the DOS(E_F) in the eighth record?
Answer: 24.53 states/eV per cell